Density functional theory data (PBE) for a relaxed structure of Cs2PuHBr6.

a b c (Å): 7.999 7.999 7.999
angles (deg): 120.35 120.35 89.40
Fractional coordinates of all 10 atoms:
1 Cs 0.250 0.750 0.500
2 Cs 0.750 0.250 0.500
3 Pu 0.000 0.000 0.000
4 H 0.500 0.500 0.000
5 Br 0.244 0.244 0.000
6 Br 0.247 0.247 0.494
7 Br 0.247 0.753 0.000
8 Br 0.753 0.247 0.000
9 Br 0.753 0.753 0.506
10 Br 0.756 0.756 0.000

Fermi-level density of states = 0.73 states/eV per atom
E_tot = -4.17 eV per atom